Record 1
Computed, not measured: a PBEsol-optimized structure of TaAl2Cl at the meta-GGA SCAN level of DFT.

Magnetization = 0.00 μB per cell
Raw formation energy = -0.001 eV/atom
Fermi-level density of states = 1.28 states/eV/f.u.
Excess energy over the best structure of this formula in the dataset = 0 meV/atom

Lattice parameters (Å, degrees): 4.950 4.950 2.862 90.00 90.00 103.85
Fractional coordinates of all 4 atoms:
Ta  0.000  0.000  0.000
Al  0.000  0.500  0.500
Al  0.500  0.000  0.500
Cl  0.500  0.500  0.000

***

Record 2
Computed, not measured: a PBEsol-optimized structure of TaAlCl at the meta-GGA SCAN level of DFT.

Magnetization = 0.00 μB per cell
Raw formation energy = -0.074 eV/atom
Fermi-level density of states = 1.66 states/eV/f.u.

Lattice parameters (Å, degrees): 8.546 8.251 3.022 85.19 74.18 20.63
Fractional coordinates of all 3 atoms:
Ta  0.000  0.000  0.000
Al  0.646  0.646  0.354
Cl  0.379  0.379  0.621

***

Record 3
Computed, not measured: a PBEsol-optimized structure of TaAl2Cl at the meta-GGA SCAN level of DFT.

Magnetization = 0.00 μB per cell
Raw formation energy = 0.677 eV/atom
Fermi-level density of states = 1.61 states/eV/f.u.
Excess energy over the best structure of this formula in the dataset = 678 meV/atom

Lattice parameters (Å, degrees): 4.662 4.662 4.662 60.00 60.00 60.00
Fractional coordinates of all 4 atoms:
Ta  0.000  0.000  0.000
Al  0.250  0.250  0.250
Al  0.750  0.750  0.750
Cl  0.500  0.500  0.500

***

Record 4
Computed, not measured: a PBEsol-optimized structure of Ta2AlCl at the meta-GGA SCAN level of DFT.

Magnetization = 0.00 μB per cell
Raw formation energy = 0.566 eV/atom
Fermi-level density of states = 3.12 states/eV/f.u.
Excess energy over the best structure of this formula in the dataset = 472 meV/atom

Lattice parameters (Å, degrees): 5.089 5.089 5.089 133.85 133.85 67.32
Fractional coordinates of all 4 atoms:
Ta  0.000  0.000  0.000
Ta  0.750  0.250  0.500
Al  0.500  0.500  0.000
Cl  0.250  0.750  0.500

***

Record 5
Computed, not measured: a PBEsol-optimized structure of TaAlCl3 at the meta-GGA SCAN level of DFT.

Magnetization = 4.31 μB per cell
Raw formation energy = 0.383 eV/atom
Fermi-level density of states = 5.65 states/eV/f.u.

Lattice parameters (Å, degrees): 4.760 4.760 4.760 90.00 90.00 90.00
Fractional coordinates of all 5 atoms:
Ta  0.000  0.000  0.000
Al  0.500  0.500  0.500
Cl  0.000  0.500  0.500
Cl  0.500  0.000  0.500
Cl  0.500  0.500  0.000

***

Record 6
Computed, not measured: a PBEsol-optimized structure of YTaAl2Cl at the meta-GGA SCAN level of DFT.

Magnetization = 0.00 μB per cell
Raw formation energy = 0.515 eV/atom
Fermi-level density of states = 2.68 states/eV/f.u.

Lattice parameters (Å, degrees): 4.631 4.631 4.818 90.00 90.00 90.00
Fractional coordinates of all 5 atoms:
Y  0.000  0.000  0.000
Ta  0.500  0.500  0.000
Al  0.000  0.500  0.500
Al  0.500  0.000  0.500
Cl  0.000  0.000  0.500